First-principles (PBE+U) data for a relaxed structure of NiRuN2F, as listed in the Alexandria database.

DFT total energy = -4.938 eV/atom
M_tot = 0.7419 μB/atom

Structure (CIF):
```
data_NiRuN2F
_chemical_formula_sum 'Ni1 Ru1 N2 F1'
_cell_length_a 3.784
_cell_length_b 3.784
_cell_length_c 3.720
_cell_angle_alpha 90.00
_cell_angle_beta 90.00
_cell_angle_gamma 90.00
_space_group_name_H-M_alt 'P 4/m m m'
_space_group_IT_number 123
_space_group_name_Hall '-P 4 2'
loop_
_atom_site_label
_atom_site_fract_x
_atom_site_fract_y
_atom_site_fract_z
Ni1 0.000 0.000 0.000
Ru1 0.500 0.500 0.500
N1 0.000 0.500 0.000
F1 0.000 0.000 0.500
```